Entry 1:
# Cs3BaSe2O6

A geometry-optimized Cs3BaSe2O6 structure (PBE-GGA, the Alexandria database).

Cell lengths 6.4937, 6.4937, 8.0858 Å; angles 90.00, 90.00, 120.00 degrees
With the nearest neighbours (Å) after each atom.
Space group P-3m1 (No. 164)
Symmetry-distinct sites (fractional):
Cs: 0.0000 0.0000 0.0000 [1 per cell]  6 O 3.31
Cs: 0.3333 0.6667 0.6842 [2 per cell]  9 O 3.26-3.42
Ba: 0.0000 0.0000 0.5000 [1 per cell]  6 O 2.68
Se: 0.3333 0.6667 0.2098 [2 per cell]  3 O 1.76
O: 0.1940 0.3880 0.3083 [6 per cell]  1 Se 1.76

Calculated values
volume = 295.3 Å³ per cell
raw formation energy = -1468 meV/atom
E = -4.901 eV per atom
DOS(E_F) = 0.387 states/eV per atom

***

Entry 2:
# Cs2BaSe2O6

A geometry-optimized Cs2BaSe2O6 structure (PBE-GGA, the Alexandria database).

Cell lengths 11.4866, 6.6272, 7.6103 Å; angles 90.00, 103.16, 90.00 degrees
With the nearest neighbours (Å) after each atom.
Space group C2/m (No. 12)
Symmetry-distinct sites (fractional):
Cs: 0.1984 0.0000 0.2155 [4 per cell]  9 O 3.27-3.59
Ba: 0.0000 0.5000 0.0000 [2 per cell]  6 O 2.67-2.69
Se: 0.1248 0.0000 0.7111 [4 per cell]  3 O 1.73
O: 0.0798 0.2041 0.8201 [8 per cell]  1 Se 1.73
O: 0.2214 0.5000 0.2143 [4 per cell]  1 Se 1.73

Calculated values
volume = 564.1 Å³ per cell
raw formation energy = -1635 meV/atom
E = -5.303 eV per atom
DOS(E_F) = 0.000 states/eV per atom